(1)
# MgNpCoOs | Alexandria via LeMat-Bulk | PBE | relaxed
# Total DFT energy (no corrections)   -8.116 eV/atom
# ΔE_f   0.10 eV per atom
# Magnetic moment   0.5250 μB per atom
data_MgNpCoOs
_space_group_name_H-M_alt 'F -4 3 m'
_space_group_IT_number 216
_space_group_name_Hall 'F -4 2 3'
_cell_length_a 6.441
_cell_length_b 6.441
_cell_length_c 6.441
_cell_angle_alpha 90.00
_cell_angle_beta 90.00
_cell_angle_gamma 90.00
loop_
_atom_site_label
_atom_site_type_symbol
_atom_site_fract_x
_atom_site_fract_y
_atom_site_fract_z
Mg1 Mg 0.000 0.000 0.000
Np1 Np 0.000 0.000 0.500
Co1 Co 0.250 0.250 0.750
Os1 Os 0.250 0.250 0.250


(2)
# MgNpCo2P2 | Alexandria via LeMat-Bulk | PBE | relaxed
# Total DFT energy (no corrections)   -7.145 eV/atom
# ΔE_f   -0.55 eV per atom
# Magnetic moment   0.2540 μB per atom
data_MgNpCo2P2
_space_group_name_H-M_alt 'P -3 m 1'
_space_group_IT_number 164
_space_group_name_Hall '-P 3 2"'
_cell_length_a 3.8738
_cell_length_b 3.8738
_cell_length_c 7.1006
_cell_angle_alpha 90.00
_cell_angle_beta 90.00
_cell_angle_gamma 120.00
loop_
_atom_site_label
_atom_site_type_symbol
_atom_site_fract_x
_atom_site_fract_y
_atom_site_fract_z
Mg1 Mg 0.0000 0.0000 0.0000
Np1 Np 0.0000 0.0000 0.5000
Co1 Co 0.3333 0.6667 0.2573
P1 P 0.3333 0.6667 0.7602


(3)
# MgNpCoRh | Alexandria via LeMat-Bulk | PBE | relaxed
# Total DFT energy (no corrections)   -7.376 eV/atom
# ΔE_f   -0.13 eV per atom
# Magnetic moment   0.6530 μB per atom
data_MgNpCoRh
_space_group_name_H-M_alt 'F -4 3 m'
_space_group_IT_number 216
_space_group_name_Hall 'F -4 2 3'
_cell_length_a 6.470
_cell_length_b 6.470
_cell_length_c 6.470
_cell_angle_alpha 90.00
_cell_angle_beta 90.00
_cell_angle_gamma 90.00
loop_
_atom_site_label
_atom_site_type_symbol
_atom_site_fract_x
_atom_site_fract_y
_atom_site_fract_z
Mg1 Mg 0.000 0.000 0.000
Np1 Np 0.000 0.000 0.500
Co1 Co 0.250 0.250 0.750
Rh1 Rh 0.250 0.250 0.250


(4)
# MgNpCoRu | Alexandria via LeMat-Bulk | PBE | relaxed
# Total DFT energy (no corrections)   -7.733 eV/atom
# ΔE_f   0.00 eV per atom
# Magnetic moment   0.6955 μB per atom
data_MgNpCoRu
_space_group_name_H-M_alt 'F -4 3 m'
_space_group_IT_number 216
_space_group_name_Hall 'F -4 2 3'
_cell_length_a 6.404
_cell_length_b 6.404
_cell_length_c 6.404
_cell_angle_alpha 90.00
_cell_angle_beta 90.00
_cell_angle_gamma 90.00
loop_
_atom_site_label
_atom_site_type_symbol
_atom_site_fract_x
_atom_site_fract_y
_atom_site_fract_z
Mg1 Mg 0.000 0.000 0.000
Np1 Np 0.000 0.000 0.500
Co1 Co 0.250 0.250 0.250
Ru1 Ru 0.250 0.250 0.750